# 1
PBE CaTb4PbS8, optimized geometry; formation energy without anion corrections = -1.79 eV/atom; D(E_F) = 0.00 states/eV/cell; calculated volume = 28.056 Å³/atom
1.0
-5.1496 -2.3726 -5.8875
-6.0797 -5.1815 1.7318
-7.8045 2.7281 0.0530
S Pb Tb Ca
8 1 4 1
Cartesian
-8.4357 0.0856 -0.9982
-10.5323 -4.8846 -3.0865
-14.1883 -3.7319 -3.1079
-4.8852 -1.0428 -0.9808
-11.6564 -2.6592 -0.0808
-7.4041 -2.2186 -3.9776
-11.1636 -1.1712 -4.1171
-7.8827 -3.6639 -0.0572
-7.7564 2.6660 0.0360
-3.9371 1.3532 0.0182
-8.0152 -4.3527 -2.5831
-6.4727 0.1849 -2.8807
-6.9307 -1.1982 0.8710
-11.0340 -0.4533 -1.5141

***

# 2
PBE Ca2TbPbS4, optimized geometry; formation energy without anion corrections = -1.64 eV/atom; D(E_F) = 3.06 states/eV/cell; calculated volume = 23.734 Å³/atom
1.0
-2.4788 -1.2180 -2.9407
-4.7780 -2.0040 4.8574
-1.1664 6.6910 -1.7881
S Tb Pb Ca
4 1 1 2
Cartesian
-5.6197 2.8937 0.7711
-2.8034 0.5753 -0.6425
-3.8306 0.1882 3.1509
-2.1137 4.4988 -0.0816
-3.6284 -1.6110 0.9583
0.0000 0.0000 0.0000
-1.8226 2.7365 -2.3644
-2.9722 2.3435 1.5346

***

# 3
PBE Ca2Tb2Pb2S, optimized geometry; formation energy without anion corrections = -0.90 eV/atom; D(E_F) = 1.18 states/eV/cell; calculated volume = 31.831 Å³/atom
1.0
5.1702 0.0000 0.0000
0.0000 5.1702 0.0000
-2.5851 -2.5851 8.3355
Pb Tb Ca S
2 2 2 1
Cartesian
0.0000 0.0000 6.1661
2.5851 2.5851 2.1695
2.5851 0.0000 0.0000
0.0000 2.5851 0.0000
0.0000 0.0000 2.9235
2.5851 2.5851 5.4120
0.0000 0.0000 0.0000

***

# 4
PBE CaTePb2S, optimized geometry; formation energy without anion corrections = 0.11 eV/atom; D(E_F) = 2.05 states/eV/cell; calculated volume = 36.706 Å³/atom
1.0
6.1318 0.0000 0.0000
0.0000 4.8812 0.0000
0.0000 0.0000 6.1318
Pb Ca Te S
2 1 1 1
Cartesian
3.0659 0.0000 0.0000
0.0000 0.0000 3.0659
0.0000 0.0000 0.0000
3.0659 2.4406 3.0659
0.0000 2.4406 0.0000

***

# 5
PBE Ca2Tm2Pb2S, optimized geometry; formation energy without anion corrections = -0.91 eV/atom; D(E_F) = 1.04 states/eV/cell; calculated volume = 30.554 Å³/atom
1.0
-0.4142 -4.4721 -2.3538
4.1101 1.0762 -2.7678
2.9759 -1.8027 8.3631
Ca S Pb Tm
2 1 2 2
Cartesian
1.6862 -1.2236 2.0281
4.9857 -3.9750 1.2133
0.0000 0.0000 0.0000
3.5735 -2.5933 4.2983
3.0984 -2.6054 -1.0568
2.0551 0.5381 -1.3839
-0.2071 -2.2361 -1.1769

***

# 6
PBE Ca2UPbS6, optimized geometry; formation energy without anion corrections = -1.38 eV/atom; calculated volume = 26.822 Å³/atom
1.0
7.0294 0.0003 0.0004
3.5150 6.0870 0.0001
3.5147 2.0292 6.2687
U S Pb Ca
1 6 1 2
Cartesian
3.5149 2.0290 0.1575
5.0279 4.0232 4.8012
8.0608 2.3423 4.8017
9.6182 3.9896 1.5307
8.0000 5.8092 4.8013
5.7949 6.3343 1.5307
5.6751 1.8514 1.5310
10.5440 6.0871 3.5457
7.0297 4.0583 2.6799
3.5149 2.0295 6.0612

***

# 7
PBE CaUPb2S6, optimized geometry; formation energy without anion corrections = -1.07 eV/atom; calculated volume = 26.240 Å³/atom
1.0
6.9233 0.0000 0.1344
0.0000 7.5153 0.0000
0.2564 0.0000 10.0913
S Pb U Ca
12 4 2 2
Cartesian
2.1518 5.0904 0.4741
4.7993 2.1172 5.9014
1.0514 3.3590 7.6935
1.2095 1.6404 0.7886
2.3804 5.3981 4.3242
4.3849 0.3987 2.7151
5.9702 5.8749 9.4371
6.1283 4.1563 2.5322
5.0279 2.4249 9.7515
1.4380 1.3328 4.6387
2.7948 7.1166 7.5106
5.7417 6.1825 5.5870
3.7709 4.2833 7.9450
3.4088 3.2320 2.2807
6.9987 0.5257 7.3936
0.1810 6.9896 2.8321
0.0000 3.7576 0.0000
3.5899 0.0000 5.1128
0.1282 3.7576 5.0456
3.4617 0.0000 0.0672

***

# 8
PBE Ca2YPbS, optimized geometry; formation energy without anion corrections = -0.97 eV/atom; D(E_F) = 3.04 states/eV/cell; calculated volume = 29.234 Å³/atom
1.0
5.2658 0.0000 0.0000
0.0000 5.2658 0.0000
0.0000 0.0000 5.2713
Y Ca S Pb
1 2 1 1
Cartesian
0.0000 0.0000 2.6357
0.0000 2.6329 0.0000
2.6329 0.0000 0.0000
0.0000 0.0000 0.0000
2.6329 2.6329 2.6357

***

# 9
PBE CaY2PbS, optimized geometry; formation energy without anion corrections = -0.91 eV/atom; D(E_F) = 3.59 states/eV/cell; calculated volume = 28.474 Å³/atom
1.0
-4.2527 -2.5436 -1.6384
3.0150 -3.3271 -2.6607
0.2526 -3.1189 4.1863
S Pb Ca Y
1 1 1 2
Cartesian
0.0000 0.0000 0.0000
-0.4925 -4.4948 -0.0564
0.1263 -1.5594 2.0932
-2.1264 -1.2718 -0.8192
1.5075 -1.6636 -1.3303

***

# 10
PBE Ca2Y2Pb2S, optimized geometry; formation energy without anion corrections = -0.92 eV/atom; D(E_F) = 1.06 states/eV/cell; calculated volume = 31.570 Å³/atom
1.0
-0.6135 -4.6816 -2.0505
4.9127 -1.1099 1.0641
-4.4338 -0.0692 7.9459
Ca Y Pb S
2 2 2 1
Cartesian
-0.8002 -1.0387 2.6108
0.6656 -4.8220 4.3487
2.4563 -0.5549 0.5321
-0.3068 -2.3408 -1.0253
-1.6879 -2.1910 5.5073
1.5533 -3.6697 1.4522
0.0000 0.0000 0.0000

***

# 11
PBE CaY4PbS8, optimized geometry; formation energy without anion corrections = -1.80 eV/atom; D(E_F) = 0.00 states/eV/cell; calculated volume = 27.860 Å³/atom
1.0
8.1504 0.0000 0.0000
4.0752 7.0584 0.0000
4.0752 2.3528 6.7798
Y S Ca Pb
4 8 1 1
Cartesian
6.0809 1.1948 3.4005
2.0695 1.1948 3.4005
4.0752 4.6688 3.4005
8.1504 4.7056 0.8852
5.9912 3.4590 4.8898
12.2255 7.0584 4.9417
8.1504 7.1988 4.8898
8.1504 2.2849 1.8737
10.3096 3.4590 4.8898
10.2468 5.9160 1.8737
4.0752 2.3528 1.9067
6.0540 5.9160 1.8737
8.1504 4.7056 5.9239
4.0752 2.3528 6.6992

***

# 12
PBE CaSb2Pb, optimized geometry; formation energy without anion corrections = -0.36 eV/atom; D(E_F) = 0.58 states/eV/cell; calculated volume = 34.081 Å³/atom
1.0
-4.3004 1.2736 2.4137
-0.1393 0.0658 5.0909
0.2285 6.2690 2.4731
Ca Pb Sb
1 1 2
Cartesian
-2.7681 7.0365 7.4768
-2.0647 3.9437 4.9882
-1.0453 1.9277 2.4943
-0.2103 4.7735 2.4804

***

| no. | calculated total energy (eV/cell) |
| --- | --- |
| 1 | -82.3 |
| 2 | -42.0 |
| 3 | -31.1 |
| 4 | -16.1 |
| 5 | -30.8 |
| 6 | -57.5 |
| 7 | -112.4 |
| 8 | -23.1 |
| 9 | -27.3 |
| 10 | -34.9 |
| 11 | -89.7 |
| 12 | -15.4 |